# 1
# PBE BeP2S2, relaxed
data_BeP2S2
_space_group_name_H-M_alt 'P 1'
_space_group_IT_number 1
_space_group_name_Hall 'P 1'
_cell_length_a 4.411
_cell_length_b 4.411
_cell_length_c 4.548
_cell_angle_alpha 90.00
_cell_angle_beta 90.00
_cell_angle_gamma 90.00
loop_
_atom_site_label
_atom_site_type_symbol
_atom_site_fract_x
_atom_site_fract_y
_atom_site_fract_z
P1 P 0.000 0.000 0.000
P2 P 0.000 0.000 0.500
S1 S 0.000 0.500 0.000
S2 S 0.500 0.000 0.000
Be1 Be 0.500 0.500 0.500
# Space group   No. 123
# Size of the total moment   0.0 μB/f.u.
# E_tot   -17.93 eV/cell
# Polymorph energy (0 for the lowest one)   251.3 meV/atom
# DOS(E_F)   5.13 states/eV/f.u.
# Formation energy from raw total energies   0.974 eV/atom



# 2
# PBE Co4Ir, relaxed
data_Co4Ir
_space_group_name_H-M_alt 'P 1'
_space_group_IT_number 1
_space_group_name_Hall 'P 1'
_cell_length_a 4.253
_cell_length_b 8.293
_cell_length_c 8.293
_cell_angle_alpha 90.00
_cell_angle_beta 90.00
_cell_angle_gamma 90.00
loop_
_atom_site_label
_atom_site_type_symbol
_atom_site_fract_x
_atom_site_fract_y
_atom_site_fract_z
Co1 Co 0.500 0.895 0.605
Co2 Co 0.500 0.605 0.105
Co3 Co 0.500 0.395 0.895
Co4 Co 0.500 0.105 0.395
Co5 Co 0.500 0.208 0.106
Co6 Co 0.500 0.106 0.792
Co7 Co 0.500 0.894 0.208
Co8 Co 0.500 0.792 0.894
Co9 Co 0.500 0.292 0.606
Co10 Co 0.500 0.708 0.394
Co11 Co 0.500 0.606 0.708
Co12 Co 0.500 0.394 0.292
Co13 Co 0.231 0.000 0.000
Co14 Co 0.769 0.500 0.500
Co15 Co 0.769 0.000 0.000
Co16 Co 0.231 0.500 0.500
Ir1 Ir 0.000 0.108 0.608
Ir2 Ir 0.000 0.608 0.892
Ir3 Ir 0.000 0.392 0.108
Ir4 Ir 0.000 0.892 0.392
# Space group   No. 127
# Size of the total moment   7.3 μB/f.u.
# E_tot   -132.16 eV/cell
# Polymorph energy (0 for the lowest one)   808.0 meV/atom
# DOS(E_F)   8.64 states/eV/f.u.



# 3
# PBE Y2PuZn6, relaxed
data_Y2PuZn6
_space_group_name_H-M_alt 'P 1'
_space_group_IT_number 1
_space_group_name_Hall 'P 1'
_cell_length_a 3.419
_cell_length_b 7.838
_cell_length_c 7.838
_cell_angle_alpha 120.00
_cell_angle_beta 90.00
_cell_angle_gamma 90.00
loop_
_atom_site_label
_atom_site_type_symbol
_atom_site_fract_x
_atom_site_fract_y
_atom_site_fract_z
Y1 Y 0.000 0.333 0.667
Y2 Y 0.000 0.667 0.333
Pu1 Pu 0.000 0.000 0.000
Zn1 Zn 0.500 0.335 0.335
Zn2 Zn 0.500 0.665 0.665
Zn3 Zn 0.500 0.000 0.665
Zn4 Zn 0.500 0.665 0.000
Zn5 Zn 0.500 0.335 0.000
Zn6 Zn 0.500 0.000 0.335
# Space group   No. 191
# Size of the total moment   5.7 μB/f.u.
# E_tot   -37.53 eV/cell
# DOS(E_F)   14.31 states/eV/f.u.



# 4
# PBE CsNaHgPb, relaxed
data_CsNaHgPb
_space_group_name_H-M_alt 'P 1'
_space_group_IT_number 1
_space_group_name_Hall 'P 1'
_cell_length_a 5.289
_cell_length_b 5.289
_cell_length_c 7.592
_cell_angle_alpha 89.85
_cell_angle_beta 110.48
_cell_angle_gamma 120.11
loop_
_atom_site_label
_atom_site_type_symbol
_atom_site_fract_x
_atom_site_fract_y
_atom_site_fract_z
Cs1 Cs 0.406 0.067 0.474
Na1 Na 0.032 0.881 0.912
Hg1 Hg 0.436 0.583 0.019
Pb1 Pb 0.818 0.273 0.091
# Space group   No. 8
# Size of the total moment   0.0 μB/f.u.
# E_tot   -6.90 eV/cell
# Polymorph energy (0 for the lowest one)   0.0 meV/atom
# DOS(E_F)   0.54 states/eV/f.u.



# 5
# PBE Li3Zn2SnO6, relaxed
data_Li3Zn2SnO6
_space_group_name_H-M_alt 'P 1'
_space_group_IT_number 1
_space_group_name_Hall 'P 1'
_cell_length_a 5.303
_cell_length_b 5.303
_cell_length_c 5.257
_cell_angle_alpha 99.72
_cell_angle_beta 99.72
_cell_angle_gamma 119.93
loop_
_atom_site_label
_atom_site_type_symbol
_atom_site_fract_x
_atom_site_fract_y
_atom_site_fract_z
Li1 Li 0.179 0.821 0.500
Li2 Li 0.821 0.179 0.500
Li3 Li 0.500 0.500 0.500
Zn1 Zn 0.333 0.667 0.000
Zn2 Zn 0.667 0.333 0.000
Sn1 Sn 0.000 0.000 0.000
O1 O 0.923 0.595 0.763
O2 O 0.748 0.748 0.233
O3 O 0.077 0.405 0.237
O4 O 0.595 0.923 0.763
O5 O 0.252 0.252 0.767
O6 O 0.405 0.077 0.237
# Space group   No. 12
# Size of the total moment   1.0 μB/f.u.
# E_tot   -61.02 eV/cell
# DOS(E_F)   7.54 states/eV/f.u.
# Formation energy from raw total energies   -1.581 eV/atom



# 6
# PBE CaMgSb2I, relaxed
data_CaMgSb2I
_space_group_name_H-M_alt 'P 1'
_space_group_IT_number 1
_space_group_name_Hall 'P 1'
_cell_length_a 5.912
_cell_length_b 5.912
_cell_length_c 5.844
_cell_angle_alpha 90.00
_cell_angle_beta 90.00
_cell_angle_gamma 90.00
loop_
_atom_site_label
_atom_site_type_symbol
_atom_site_fract_x
_atom_site_fract_y
_atom_site_fract_z
I1 I 0.000 0.000 0.500
Sb1 Sb 0.000 0.500 0.000
Sb2 Sb 0.500 0.000 0.000
Ca1 Ca 0.000 0.000 0.000
Mg1 Mg 0.500 0.500 0.500
# Space group   No. 123
# Size of the total moment   0.9 μB/f.u.
# E_tot   -12.21 eV/cell
# Polymorph energy (0 for the lowest one)   392.0 meV/atom
# DOS(E_F)   4.81 states/eV/f.u.
# Formation energy from raw total energies   0.236 eV/atom



# 7
# PBE RbTlV3, relaxed
data_RbTlV3
_space_group_name_H-M_alt 'P 1'
_space_group_IT_number 1
_space_group_name_Hall 'P 1'
_cell_length_a 4.565
_cell_length_b 4.565
_cell_length_c 4.565
_cell_angle_alpha 90.00
_cell_angle_beta 90.00
_cell_angle_gamma 90.00
loop_
_atom_site_label
_atom_site_type_symbol
_atom_site_fract_x
_atom_site_fract_y
_atom_site_fract_z
Tl1 Tl 0.500 0.500 0.500
Rb1 Rb 0.000 0.000 0.000
V1 V 0.000 0.500 0.000
V2 V 0.000 0.000 0.500
V3 V 0.500 0.000 0.000
# Space group   No. 221
# Size of the total moment   0.0 μB/f.u.
# E_tot   -18.29 eV/cell
# Polymorph energy (0 for the lowest one)   902.2 meV/atom
# DOS(E_F)   3.75 states/eV/f.u.



# 8
# PBE Ba2CrSb, relaxed
data_Ba2CrSb
_space_group_name_H-M_alt 'P 1'
_space_group_IT_number 1
_space_group_name_Hall 'P 1'
_cell_length_a 5.756
_cell_length_b 5.756
_cell_length_c 5.756
_cell_angle_alpha 60.00
_cell_angle_beta 60.00
_cell_angle_gamma 60.00
loop_
_atom_site_label
_atom_site_type_symbol
_atom_site_fract_x
_atom_site_fract_y
_atom_site_fract_z
Ba1 Ba 0.000 0.000 0.000
Ba2 Ba 0.250 0.250 0.250
Cr1 Cr 0.500 0.500 0.500
Sb1 Sb 0.750 0.750 0.750
# Space group   No. 216
# Size of the total moment   4.8 μB/f.u.
# E_tot   -16.91 eV/cell
# DOS(E_F)   4.17 states/eV/f.u.
# Formation energy from raw total energies   0.170 eV/atom